The following is a PBE calculation of an optimized crystal structure of MnNbBiSb2, from Alexandria via LeMat-Bulk.

Properties
**Raw formation energy**: 0.654 eV per atom
**DOS at the Fermi energy**: 3.0 states/eV per cell

abc: 5.3751 5.3751 4.9771
angles: 90.00 90.00 90.00
Closest atoms and distances in Å follow each position.
Space group P4/mmm (No. 123)
One atom of each set of equivalent atoms:
1 Mn 0.0000 0.0000 0.0000  2 Nb 2.49
2 Nb 0.0000 0.0000 0.5000  2 Mn 2.49, 4 Sb 2.69
3 Bi 0.5000 0.5000 0.0000  8 Sb 3.66, 4 Mn 3.80
4 Sb 0.0000 0.5000 0.5000  2 Nb 2.69



The following is a PBE calculation of an optimized crystal structure of Nb2VSe5, from Alexandria via LeMat-Bulk.

Properties
**Raw formation energy**: -0.533 eV per atom
**Energy relative to the lowest polymorph listed for this composition**: 0.066 eV/atom
**DOS at the Fermi energy**: 11.1 states/eV per cell

abc: 5.0031 12.1638 11.2932
angles: 90.00 90.00 90.00
Closest atoms and distances in Å follow each position.
Space group Cmcm (No. 63)
One atom of each set of equivalent atoms:
1 Nb 0.0000 0.1460 0.1109  5 Se 2.51-2.76
2 V 0.0000 0.2318 0.7500  6 Se 2.51-2.58
3 Se 0.0000 0.0604 0.6151  2 Nb 2.51-2.76, 1 V 2.58
4 Se 0.0000 0.3153 0.2500  2 V 2.57, 2 Nb 2.59
5 Se 0.0000 0.3261 0.5523  1 V 2.51, 2 Nb 2.61



The following is a PBE calculation of an optimized crystal structure of Pm6BiIr3, from Alexandria via LeMat-Bulk.

Properties
**Energy**: -6.554 eV/atom
**DOS at the Fermi energy**: 11.4 states/eV per cell

abc: 11.8087 4.2832 12.1578
angles: 90.00 107.31 90.00
Closest atoms and distances in Å follow each position.
Space group P2_1/m (No. 11)
One atom of each set of equivalent atoms:
1 Pm 0.0293 0.2500 0.3955  4 Ir 2.82-3.07
2 Pm 0.1088 0.2500 0.9532  4 Ir 2.88-2.94
3 Pm 0.2037 0.7500 0.2665  3 Ir 2.90-3.00
4 Pm 0.2814 0.7500 0.7707  3 Ir 2.79-3.08
5 Pm 0.3554 0.2500 0.5417  2 Ir 2.91
6 Pm 0.4244 0.7500 0.0895  3 Ir 2.81-2.90
7 Bi 0.4421 0.2500 0.3084  8 Pm 3.29-3.67
8 Ir 0.0401 0.2500 0.1667  6 Pm 2.82-2.94
9 Ir 0.1816 0.7500 0.5057  7 Pm 2.86-3.08
10 Ir 0.3425 0.2500 0.9245  6 Pm 2.79-2.90



The following is a PBE calculation of an optimized crystal structure of NaHfGa2, from Alexandria via LeMat-Bulk.

Properties
**Energy relative to the lowest polymorph listed for this composition**: 0.000 eV/atom
**DOS at the Fermi energy**: 2.4 states/eV per cell

abc: 3.1432 3.1432 8.1665
angles: 90.00 90.00 90.00
Closest atoms and distances in Å follow each position.
Space group P4/mmm (No. 123)
One atom of each set of equivalent atoms:
1 Na 0.0000 0.0000 0.0000  8 Ga 3.13, 4 Na 3.14
2 Hf 0.0000 0.0000 0.5000  8 Ga 2.91, 4 Hf 3.14
3 Ga 0.5000 0.5000 0.2700  4 Hf 2.91, 4 Na 3.13, 4 Ga 3.14



Magnetization: 3.09, 0.17, 0.00, 0.00 (μB/f.u.)